VASP calculation (PBE) on a relaxed HoZrInAu crystal.

Cell lengths 5.070, 5.070, 5.070 Å; angles 60.00, 60.00, 60.00 degrees
Sites, in units of the cell vectors:
Ho1 0.000 0.000 0.000
Zr1 0.500 0.500 0.500
In1 0.250 0.250 0.250
Au1 0.750 0.750 0.750

ρ in g/cm³: 10.233
Symmetry: F-43m, No. 216
DOS at the Fermi energy in states/eV per atom: 0.59
M_tot in μB/cell: 0.99
ΔE_f in eV/atom: -0.415
Crystal system: cubic


VASP calculation (PBE) on a relaxed Mn2CdFeH crystal.

Cell lengths 2.881, 2.903, 7.064 Å; angles 90.00, 90.00, 90.00 degrees
Sites, in units of the cell vectors:
Mn1 0.000 0.000 0.000
Mn2 0.500 0.500 0.266
Cd1 0.000 0.000 0.557
Fe1 0.500 0.500 0.827
H1 0.500 0.000 0.136

ρ in g/cm³: 7.845
Symmetry: Pmm2, No. 25
DOS at the Fermi energy in states/eV per atom: 0.83
M_tot in μB/cell: 6.29
Crystal system: orthorhombic
Distance to the lowest polymorph of the same formula in kJ/mol of atoms: 5.83


VASP calculation (PBE) on a relaxed LaBe2B8 crystal.

Cell lengths 5.460, 5.460, 4.327 Å; angles 104.13, 104.13, 57.16 degrees
Sites, in units of the cell vectors:
La1 0.000 0.000 0.000
Be1 0.227 0.227 0.727
Be2 0.773 0.773 0.273
B1 0.161 0.502 0.473
B2 0.372 0.372 0.158
B3 0.431 0.431 0.816
B4 0.498 0.839 0.527
B5 0.502 0.161 0.473
B6 0.569 0.569 0.184
B7 0.628 0.628 0.842
B8 0.839 0.498 0.527

ρ in g/cm³: 3.883
Symmetry: C2/m, No. 12
DOS at the Fermi energy in states/eV per atom: 0.17
M_tot in μB/cell: 0.00
ΔE_f in eV/atom: -0.025
Crystal system: monoclinic


VASP calculation (PBE) on a relaxed Sr2TiSb2 crystal.

Cell lengths 7.912, 7.912, 4.867 Å; angles 90.00, 90.00, 90.00 degrees
Sites, in units of the cell vectors:
Sr1 0.157 0.343 0.000
Sr2 0.343 0.843 0.000
Sr3 0.657 0.157 0.000
Sr4 0.843 0.657 0.000
Ti1 0.000 0.000 0.500
Ti2 0.500 0.500 0.500
Sb1 0.158 0.658 0.500
Sb2 0.342 0.158 0.500
Sb3 0.658 0.842 0.500
Sb4 0.842 0.342 0.500

ρ in g/cm³: 5.087
Symmetry: P4/mbm, No. 127
DOS at the Fermi energy in states/eV per atom: 0.54
M_tot in μB/cell: 3.99
Crystal system: tetragonal
Distance to the lowest polymorph of the same formula in kJ/mol of atoms: 0.00